# 1
DFT (PBE) results for a relaxed structure of Fe2AsPd2.

Cell lengths 6.0234, 6.0234, 4.0443 Å; angles 90.00, 90.00, 90.00 degrees
Last column: nearest neighbours and their distance in Å.
Space group P4/mbm (No. 127)
Inequivalent atoms, fractional coordinates:
Fe 0.1340 0.3660 0.0000  1 Fe 2.28, 2 As 2.35
As 0.0000 0.0000 0.0000  4 Fe 2.35
Pd 0.1601 0.6601 0.5000  6 Fe 2.68-2.69, 1 Pd 2.73

Magnetic moment ... 4.9 μB per formula unit
DFT formation energy ... 44.6 meV/atom


# 2
DFT (PBE) results for a relaxed structure of FeAs2Pd.

Cell lengths 5.4825, 5.4825, 10.6529 Å; angles 90.00, 90.00, 90.00 degrees
Last column: nearest neighbours and their distance in Å.
Space group I-42d (No. 122)
Inequivalent atoms, fractional coordinates:
Fe 0.0000 0.0000 0.0000  4 As 2.25
As 0.2155 0.2500 0.1250  2 Fe 2.25, 2 Pd 2.47
Pd 0.0000 0.0000 0.5000  4 As 2.47

Magnetic moment ... 0.0 μB per formula unit
DFT formation energy ... 82.3 meV/atom


# 3
DFT (PBE) results for a relaxed structure of FeAs3Pd.

Cell lengths 4.5236, 4.5236, 4.5236 Å; angles 90.00, 90.00, 90.00 degrees
Last column: nearest neighbours and their distance in Å.
Space group Pm-3m (No. 221)
Inequivalent atoms, fractional coordinates:
Fe 0.0000 0.0000 0.0000  6 As 2.26
As 0.0000 0.0000 0.5000  2 Fe 2.26
Pd 0.5000 0.5000 0.5000  12 As 3.20

Magnetic moment ... 0.0 μB per formula unit
DFT formation energy ... 406.0 meV/atom


# 4
DFT (PBE) results for a relaxed structure of FeAsPd3.

Cell lengths 4.6059, 4.6059, 4.6059 Å; angles 90.00, 90.00, 90.00 degrees
Last column: nearest neighbours and their distance in Å.
Space group Pm-3m (No. 221)
Inequivalent atoms, fractional coordinates:
Fe 0.0000 0.0000 0.0000  6 Pd 2.30
As 0.5000 0.5000 0.5000  12 Pd 3.26
Pd 0.0000 0.0000 0.5000  2 Fe 2.30

Magnetic moment ... 4.4 μB per formula unit
DFT formation energy ... 755.3 meV/atom